A plane-wave DFT calculation with PBE-GGA was carried out for a geometry-optimized LiZr2Al2CuPd2 structure.

The value obtained for the total energy is -45.4 eV for the cell shown. Its total moment is 0.0 μB/cell.

CIF file:
```
data_LiZr2Al2CuPd2
_cell_length_a 4.497
_cell_length_b 4.497
_cell_length_c 6.382
_cell_angle_alpha 90.00
_cell_angle_beta 90.00
_cell_angle_gamma 90.00
_symmetry_space_group_name_H-M 'P -4 m 2'
_symmetry_Int_Tables_number 115
loop_
_symmetry_equiv_pos_as_xyz
'x,y,z'
'y,-x,-z'
'-x,-y,z'
'-y,x,-z'
'-x,y,z'
'-y,-x,-z'
'x,-y,z'
'y,x,-z'
loop_
_atom_site_label
_atom_site_type_symbol
_atom_site_fract_x
_atom_site_fract_y
_atom_site_fract_z
_atom_site_occupancy
Li1 Li 0.000 0.000 0.000 1
Zr1 Zr 0.000 0.500 0.748 1
Al1 Al 0.000 0.500 0.253 1
Cu1 Cu 0.500 0.500 0.500 1
Pd1 Pd 0.000 0.000 0.500 1
Pd2 Pd 0.500 0.500 0.000 1
```